Below is crystalline MoOsRh2 at its relaxed geometry, with properties calculated at the PBE-GGA level.

abc: 3.8353 3.8359 3.9405
angles: 90.00 90.00 90.00
Closest atoms and distances in Å follow each position.
Atoms (fractional coordinates):
Rh (0.5000, 0.5000, 0.0000)  4 Rh 2.71, 4 Os 2.75, 4 Mo 2.75
Rh (0.0000, 0.0000, 0.0000)  4 Rh 2.71, 4 Mo 2.75, 4 Os 2.75
Mo (0.5000, 0.0000, 0.5000)  4 Os 2.71, 8 Rh 2.75
Os (0.0000, 0.5000, 0.5000)  4 Mo 2.71, 8 Rh 2.75

Results
Relative energy among the computed polymorphs (meV/atom): 75
Volume (Å³ per cell): 58.0
Formation enthalpy at 0 K (eV per atom): -0.1134
D(E_F) (states/eV per atom): 0.6902